Entry 1:
VASP calculation (GGA-PBE) on Be2ReAu after structural relaxation.

abc: 2.6507 3.0443 6.0623
angles: 90.00 90.00 90.00
Closest atoms and distances in Å follow each position.
Element x y z (fractional)
1 Be 0.0000 0.0000 0.0415  4 Be 2.27, 1 Re 2.44, 4 Au 2.49
2 Be 0.5000 0.5000 0.2143  4 Be 2.27, 4 Re 2.45, 1 Au 2.51
3 Au 0.5000 0.5000 0.8008  5 Be 2.49-2.51, 2 Au 2.65
4 Re 0.0000 0.0000 0.4434  5 Be 2.44-2.45, 2 Re 2.65

Output
SG: Pmm2
Fermi-level density of states: 0.350 states/eV per atom
ΔE_f: 2.151 kcal/mol of atoms
E_tot: -5.7012 eV per atom



Entry 2:
VASP calculation (GGA-PBE) on BaNa3Mo after structural relaxation.

abc: 5.9755 5.9755 5.9755
angles: 90.00 90.00 90.00
Closest atoms and distances in Å follow each position.
Element x y z (fractional)
1 Mo 0.0000 0.0000 0.0000  6 Na 2.99
2 Na 0.5000 0.0000 0.0000  2 Mo 2.99
3 Na 0.0000 0.0000 0.5000  2 Mo 2.99
4 Na 0.0000 0.5000 0.0000  2 Mo 2.99
5 Ba 0.5000 0.5000 0.5000  12 Na 4.23

Output
SG: Pm-3m
Fermi-level density of states: 0.727 states/eV per atom
ΔE_f: 22.188 kcal/mol of atoms
E_tot: -2.3800 eV per atom



Entry 3:
VASP calculation (GGA-PBE) on P4Pt3 after structural relaxation.

abc: 5.5127 5.5127 4.3152
angles: 90.00 90.00 120.00
Closest atoms and distances in Å follow each position.
Element x y z (fractional)
1 Pt 0.5000 0.0000 0.0000  8 P 2.68-2.97, 4 Pt 2.76
2 Pt 0.0000 0.5000 0.0000  8 P 2.68-2.97, 4 Pt 2.76
3 Pt 0.5000 0.5000 0.0000  8 P 2.68-2.97, 4 Pt 2.76
4 P 0.3333 0.6667 0.5000  6 Pt 2.68
5 P 0.0000 0.0000 0.7440  2 P 2.11-2.21
6 P 0.0000 0.0000 0.2560  2 P 2.11-2.21
7 P 0.6667 0.3333 0.5000  6 Pt 2.68

Output
SG: P6/mmm
Fermi-level density of states: 0.486 states/eV per atom
ΔE_f: 9.932 kcal/mol of atoms
E_tot: -5.2496 eV per atom



Entry 4:
VASP calculation (GGA-PBE) on Pm7As2Pb2 after structural relaxation.

abc: 7.1635 6.9819 7.1635
angles: 90.00 104.10 90.00
Closest atoms and distances in Å follow each position.
Element x y z (fractional)
1 Pm 0.0000 0.0000 0.0000  2 As 3.05
2 Pm 0.0000 0.7347 0.5000  2 As 2.89
3 Pm 0.5000 0.7347 0.0000  2 As 2.89
4 Pm 0.5000 0.2417 0.5000  2 As 3.10, 2 Pb 3.33, 1 Pm 3.38
5 Pm 0.0000 0.2653 0.5000  2 As 2.89
6 Pm 0.5000 0.7583 0.5000  2 As 3.10, 2 Pb 3.33, 1 Pm 3.38
7 Pm 0.5000 0.2653 0.0000  2 As 2.89
8 As 0.7297 0.0000 0.2703  7 Pm 2.89-3.10
9 As 0.2703 0.0000 0.7297  7 Pm 2.89-3.10
10 Pb 0.8178 0.5000 0.8178  1 Pb 3.21, 6 Pm 3.32-3.33
11 Pb 0.1822 0.5000 0.1822  1 Pb 3.21, 6 Pm 3.32-3.33

Output
SG: Cmmm
Fermi-level density of states: 1.107 states/eV per atom
ΔE_f: -13.146 kcal/mol of atoms
E_tot: -5.1128 eV per atom



Entry 5:
VASP calculation (GGA-PBE) on Ac2PmMg4 after structural relaxation.

abc: 5.7086 5.7086 9.5385
angles: 107.41 107.41 90.00
Closest atoms and distances in Å follow each position.
Element x y z (fractional)
1 Ac 0.6149 0.6149 0.2298  5 Mg 3.48-3.59
2 Ac 0.3851 0.3851 0.7702  5 Mg 3.48-3.59
3 Mg 0.5000 0.0000 0.0000  2 Pm 2.85
4 Mg 0.0000 0.5000 0.0000  2 Pm 2.85
5 Mg 0.1775 0.1775 0.3549  1 Pm 3.07
6 Mg 0.8225 0.8225 0.6451  1 Pm 3.07
7 Pm 0.0000 0.0000 0.0000  6 Mg 2.85-3.07

Output
SG: I4/mmm
Fermi-level density of states: 1.132 states/eV per atom
ΔE_f: 10.836 kcal/mol of atoms
E_tot: -2.2938 eV per atom



Entry 6:
VASP calculation (GGA-PBE) on Hf5Co4Hg after structural relaxation.

abc: 3.1206 3.1206 17.1576
angles: 90.00 90.00 90.02
Closest atoms and distances in Å follow each position.
Element x y z (fractional)
1 Hf 0.4998 0.4999 0.6854  8 Co 2.70-2.73
2 Hf 0.5000 0.5000 0.8707  4 Co 2.74-2.75
3 Hf 0.5002 0.5001 0.3146  8 Co 2.70-2.73
4 Hf 0.5000 0.5000 0.1293  4 Co 2.74-2.75
5 Hf 0.5000 0.5000 0.5000  8 Co 2.71
6 Co 0.9999 0.9999 0.7756  8 Hf 2.70-2.75
7 Co 0.0001 0.0001 0.2244  8 Hf 2.70-2.75
8 Co 0.0001 0.0001 0.4082  8 Hf 2.71-2.73
9 Co 0.9999 0.9999 0.5918  8 Hf 2.71-2.73
10 Hg 0.0000 0.0000 0.0000  4 Hg 3.12, 8 Hf 3.13

Output
SG: P4/mmm
Fermi-level density of states: 0.505 states/eV per atom
ΔE_f: -7.490 kcal/mol of atoms
E_tot: -8.1740 eV per atom



Entry 7:
VASP calculation (GGA-PBE) on NaFeAsBr2 after structural relaxation.

abc: 5.2441 5.2441 5.5487
angles: 90.00 90.00 90.00
Closest atoms and distances in Å follow each position.
Element x y z (fractional)
1 Br 0.0000 0.5000 0.0000  2 Na 2.62
2 Br 0.5000 0.0000 0.0000  2 Na 2.62
3 Na 0.0000 0.0000 0.0000  4 Br 2.62, 2 As 2.77
4 Fe 0.5000 0.5000 0.5000  4 As 3.71, 8 Br 3.82
5 As 0.0000 0.0000 0.5000  2 Na 2.77

Output
SG: P4/mmm
Fermi-level density of states: 0.678 states/eV per atom
Formation energy without anion corrections: 3.44 eV per formula unit
E_tot: -2.8665 eV per atom



Entry 8:
VASP calculation (GGA-PBE) on RbReRu2 after structural relaxation.

abc: 4.6021 4.6021 4.6021
angles: 60.00 60.00 60.00
Closest atoms and distances in Å follow each position.
Element x y z (fractional)
1 Re 0.5000 0.5000 0.5000  8 Ru 2.82
2 Ru 0.7500 0.7500 0.7500  4 Re 2.82, 4 Rb 2.82
3 Ru 0.2500 0.2500 0.2500  4 Re 2.82, 4 Rb 2.82
4 Rb 0.0000 0.0000 0.0000  8 Ru 2.82

Output
SG: Fm-3m
Fermi-level density of states: 0.653 states/eV per atom
ΔE_f: 37.840 kcal/mol of atoms
E_tot: -6.3509 eV per atom



Entry 9:
VASP calculation (GGA-PBE) on Re3Br after structural relaxation.

abc: 5.0645 5.0645 5.0645
angles: 90.00 90.00 90.00
Closest atoms and distances in Å follow each position.
Element x y z (fractional)
1 Re 0.5000 0.0000 0.2500  2 Re 2.53, 4 Br 2.83
2 Re 0.0000 0.2500 0.5000  2 Re 2.53, 4 Br 2.83
3 Re 0.0000 0.7500 0.5000  2 Re 2.53, 4 Br 2.83
4 Re 0.2500 0.5000 0.0000  2 Re 2.53, 4 Br 2.83
5 Re 0.7500 0.5000 0.0000  2 Re 2.53, 4 Br 2.83
6 Re 0.5000 0.0000 0.7500  2 Re 2.53, 4 Br 2.83
7 Br 0.5000 0.5000 0.5000  12 Re 2.83
8 Br 0.0000 0.0000 0.0000  12 Re 2.83

Output
SG: Pm-3n
Fermi-level density of states: 0.916 states/eV per atom
Formation energy without anion corrections: 6.76 eV per formula unit
E_tot: -8.0655 eV per atom



Entry 10:
VASP calculation (GGA-PBE) on TbPm4Tm2 after structural relaxation.

abc: 12.4982 12.4982 6.7712
angles: 97.02 97.02 150.18
Closest atoms and distances in Å follow each position.
Element x y z (fractional)
1 Tb 0.4241 0.6741 0.5003  4 Tm 3.45-3.59, 8 Pm 3.57-3.73
2 Tb 0.6741 0.4241 0.0003  4 Tm 3.45-3.59, 8 Pm 3.57-3.73
3 Pm 0.7113 0.1741 0.8619  5 Pm 3.42-3.59, 2 Tm 3.56-3.58, 2 Tb 3.57-3.62
4 Pm 0.0404 0.1492 0.6048  4 Pm 3.42-3.63, 4 Tm 3.42-3.64, 2 Tb 3.66-3.73
5 Pm 0.1851 0.7941 0.8955  4 Tm 3.42-3.64, 4 Pm 3.42-3.63, 2 Tb 3.65-3.73
6 Pm 0.6002 0.5628 0.6389  5 Pm 3.42-3.59, 2 Tm 3.56-3.58, 2 Tb 3.57-3.62
7 Pm 0.5629 0.6002 0.1389  5 Pm 3.42-3.59, 2 Tm 3.56-3.58, 2 Tb 3.58-3.62
8 Pm 0.7940 0.1851 0.3955  4 Tm 3.42-3.64, 4 Pm 3.42-3.63, 2 Tb 3.65-3.73
9 Pm 0.1492 0.0404 0.1048  4 Pm 3.42-3.63, 4 Tm 3.42-3.64, 2 Tb 3.66-3.73
10 Pm 0.1740 0.7113 0.3619  5 Pm 3.42-3.59, 2 Tm 3.56-3.58, 2 Tb 3.57-3.62
11 Tm 0.6201 0.3021 0.4495  6 Pm 3.42-3.64, 2 Tb 3.45-3.59, 2 Tm 3.66
12 Tm 0.9209 0.1030 0.0507  6 Pm 3.42-3.64, 2 Tb 3.45-3.59, 2 Tm 3.66
13 Tm 0.3021 0.6201 0.9494  6 Pm 3.42-3.64, 2 Tb 3.45-3.59, 2 Tm 3.66
14 Tm 0.1030 0.9209 0.5507  6 Pm 3.42-3.64, 2 Tb 3.45-3.59, 2 Tm 3.66

Output
SG: Fdd2
Fermi-level density of states: 1.433 states/eV per atom
ΔE_f: 1.307 kcal/mol of atoms
E_tot: -4.5970 eV per atom



Entry 11:
VASP calculation (GGA-PBE) on ScAl2BiI after structural relaxation.

abc: 5.4004 5.8815 5.4004
angles: 90.00 90.00 90.00
Closest atoms and distances in Å follow each position.
Element x y z (fractional)
1 Sc 0.5000 0.5000 0.5000  4 Bi 3.82, 8 Al 3.99
2 I 0.0000 0.0000 0.0000  4 Al 2.70, 2 Bi 2.94
3 Al 0.0000 0.0000 0.5000  2 I 2.70
4 Al 0.5000 0.0000 0.0000  2 I 2.70
5 Bi 0.0000 0.5000 0.0000  2 I 2.94

Output
SG: P4/mmm
Fermi-level density of states: 1.008 states/eV per atom
Formation energy without anion corrections: 4.97 eV per formula unit
E_tot: -2.8558 eV per atom



Entry 12:
VASP calculation (GGA-PBE) on BaCoS2 after structural relaxation.

abc: 7.6251 7.6251 7.6251
angles: 37.41 37.41 37.41
Closest atoms and distances in Å follow each position.
Element x y z (fractional)
1 Ba 0.5000 0.5000 0.5000  6 S 3.17
2 S 0.9013 0.9013 0.9013  1 Co 2.10
3 S 0.0987 0.0987 0.0987  1 Co 2.10
4 Co 0.0000 0.0000 0.0000  2 S 2.10

Output
SG: R-3m
Fermi-level density of states: 2.722 states/eV per atom
Formation energy without anion corrections: -2.85 eV per formula unit
E_tot: -5.0330 eV per atom